VASP calculation (GGA-PBE) on crystalline Sn5TeSe4 at its relaxed geometry.

Lattice parameters (Å, degrees): 6.2025 7.5185 7.5185 80.20 65.64 65.64
With the nearest neighbours (Å) after each atom.
Element x y z (fractional)
Sn 0.8729 0.4146 0.7994  4 Se 2.87-3.13, 1 Te 3.16
Sn 0.2876 0.7994 0.5854  4 Se 2.87-3.13, 1 Te 3.16
Sn 0.6723 0.2006 0.4146  4 Se 2.87-3.13, 1 Te 3.16
Sn 0.0869 0.5854 0.2006  4 Se 2.87-3.13, 1 Te 3.16
Sn 0.5054 0.0000 0.0000  2 Te 3.04-3.16, 4 Se 3.05
Te 0.0150 0.0000 0.0000  6 Sn 3.04-3.16
Se 0.4120 0.4024 0.8088  5 Sn 2.87-3.13
Se 0.8144 0.8088 0.5976  5 Sn 2.87-3.13
Se 0.2208 0.1912 0.4024  5 Sn 2.87-3.13
Se 0.6231 0.5976 0.1912  5 Sn 2.87-3.13

Symmetry: I4
Calculated density, g/cm³: 5.92
Magnetic moment, μB per formula unit: 0.00
Energy relative to the lowest polymorph listed for this composition, meV per atom: 2